(1)
# YHo4Ag5, relaxed, DFT GGA-PBE
data_YHo4Ag5
_chemical_formula_sum 'Y1 Ho4 Ag5'
_cell_length_a 3.5932
_cell_length_b 3.5932
_cell_length_c 18.4239
_cell_angle_alpha 90.00
_cell_angle_beta 90.00
_cell_angle_gamma 90.00
_space_group_name_H-M_alt 'P 1'
_space_group_IT_number 1
loop_
_space_group_symop_operation_xyz
'x,y,z'
loop_
_atom_site_label
_atom_site_type_symbol
_atom_site_fract_x
_atom_site_fract_y
_atom_site_fract_z
Ag1 Ag 0.5000 0.5000 0.1021
Ag2 Ag 0.5000 0.5000 0.8979
Ag3 Ag 0.5000 0.5000 0.6994
Ag4 Ag 0.5000 0.5000 0.3006
Ag5 Ag 0.5000 0.5000 0.5000
Ho1 Ho 0.0000 0.0000 0.7990
Ho2 Ho 0.0000 0.0000 0.2010
Ho3 Ho 0.0000 0.0000 0.5996
Ho4 Ho 0.0000 0.0000 0.4004
Y1 Y 0.0000 0.0000 0.0000
# Energy of formation from the pure elements ... -0.331 eV/atom
# Final energy ... -0.311 Ry/atom
# M_tot ... 0.0 μB/f.u.
# DOS at the Fermi energy ... 4.4 states/eV/f.u.



(2)
# KNaPu2I8, relaxed, DFT GGA-PBE
data_KNaPu2I8
_chemical_formula_sum 'K1 Na1 Pu2 I8'
_cell_length_a 7.9380
_cell_length_b 7.5334
_cell_length_c 9.4229
_cell_angle_alpha 89.98
_cell_angle_beta 89.98
_cell_angle_gamma 85.68
_space_group_name_H-M_alt 'P 1'
_space_group_IT_number 1
loop_
_space_group_symop_operation_xyz
'x,y,z'
loop_
_atom_site_label
_atom_site_type_symbol
_atom_site_fract_x
_atom_site_fract_y
_atom_site_fract_z
I1 I 0.3631 0.2702 0.0000
I2 I 0.3705 0.2748 0.5001
I3 I 0.1694 0.7361 0.7667
I4 I 0.8307 0.2640 0.7666
I5 I 0.1693 0.7360 0.2334
I6 I 0.6295 0.7252 0.4999
I7 I 0.8307 0.2639 0.2333
I8 I 0.6369 0.7298 0.0000
Na1 Na 0.0000 0.0000 0.0000
Pu1 Pu 0.5000 0.5000 0.7539
Pu2 Pu 0.5000 0.5000 0.2461
K1 K 0.0000 0.0000 0.5000
# Final energy ... -0.350 Ry/atom
# Formation energy without anion corrections ... -13.65 eV per formula unit
# M_tot ... 10.0 μB/f.u.
# DOS at the Fermi energy ... 26.8 states/eV/f.u.



(3)
# K2LaCd2O4, relaxed, DFT GGA-PBE
data_K2LaCd2O4
_chemical_formula_sum 'K2 La1 Cd2 O4'
_cell_length_a 3.7164
_cell_length_b 7.6549
_cell_length_c 8.9682
_cell_angle_alpha 133.63
_cell_angle_beta 90.00
_cell_angle_gamma 104.05
_space_group_name_H-M_alt 'P 1'
_space_group_IT_number 1
loop_
_space_group_symop_operation_xyz
'x,y,z'
loop_
_atom_site_label
_atom_site_type_symbol
_atom_site_fract_x
_atom_site_fract_y
_atom_site_fract_z
K1 K 0.1805 0.3611 0.5776
K2 K 0.8195 0.6389 0.4224
Cd1 Cd 0.6220 0.2441 0.8539
Cd2 Cd 0.3780 0.7559 0.1461
La1 La 0.0000 0.0000 0.0000
O1 O 0.2006 0.4012 0.0874
O2 O 0.5677 0.1354 0.2387
O3 O 0.4323 0.8646 0.7613
O4 O 0.7994 0.5988 0.9126
# Final energy ... -0.358 Ry/atom
# Formation energy without anion corrections ... -15.00 eV per formula unit
# M_tot ... 0.0 μB/f.u.
# DOS at the Fermi energy ... 1.7 states/eV/f.u.



(4)
# Ni2MoH, relaxed, DFT GGA-PBE
data_Ni2MoH
_chemical_formula_sum 'Ni2 Mo1 H1'
_cell_length_a 2.5566
_cell_length_b 2.5566
_cell_length_c 6.2735
_cell_angle_alpha 90.00
_cell_angle_beta 90.00
_cell_angle_gamma 90.00
_space_group_name_H-M_alt 'P 1'
_space_group_IT_number 1
loop_
_space_group_symop_operation_xyz
'x,y,z'
loop_
_atom_site_label
_atom_site_type_symbol
_atom_site_fract_x
_atom_site_fract_y
_atom_site_fract_z
Mo1 Mo 0.5000 0.5000 0.5000
Ni1 Ni 0.0000 0.0000 0.8117
Ni2 Ni 0.0000 0.0000 0.1883
H1 H 0.5000 0.5000 0.0000
# ΔE to the lowest computed polymorph ... 0.00 eV per formula unit
# Final energy ... -0.460 Ry/atom
# M_tot ... 0.0 μB/f.u.
# DOS at the Fermi energy ... 2.1 states/eV/f.u.



(5)
# BaCu2Si4, relaxed, DFT GGA-PBE
data_BaCu2Si4
_chemical_formula_sum 'Ba1 Cu2 Si4'
_cell_length_a 4.1201
_cell_length_b 6.5445
_cell_length_c 6.5445
_cell_angle_alpha 57.07
_cell_angle_beta 71.69
_cell_angle_gamma 71.69
_space_group_name_H-M_alt 'P 1'
_space_group_IT_number 1
loop_
_space_group_symop_operation_xyz
'x,y,z'
loop_
_atom_site_label
_atom_site_type_symbol
_atom_site_fract_x
_atom_site_fract_y
_atom_site_fract_z
Si1 Si 0.3948 0.8759 0.4770
Si2 Si 0.7881 0.0964 0.4718
Si3 Si 0.7881 0.4718 0.0965
Si4 Si 0.3948 0.4770 0.8759
Ba1 Ba 0.0958 0.9760 0.9760
Cu1 Cu 0.5907 0.4794 0.4794
Cu2 Cu 0.9477 0.6234 0.6234
# Final energy ... -0.341 Ry/atom
# Formation energy without anion corrections ... -0.65 eV per formula unit
# M_tot ... 0.0 μB/f.u.
# DOS at the Fermi energy ... 1.4 states/eV/f.u.



(6)
# Pr4Nd11Y9, relaxed, DFT GGA-PBE
data_Pr4Nd11Y9
_chemical_formula_sum 'Pr4 Nd11 Y9'
_cell_length_a 3.7523
_cell_length_b 15.4930
_cell_length_c 15.4930
_cell_angle_alpha 112.89
_cell_angle_beta 90.00
_cell_angle_gamma 90.00
_space_group_name_H-M_alt 'P 1'
_space_group_IT_number 1
loop_
_space_group_symop_operation_xyz
'x,y,z'
loop_
_atom_site_label
_atom_site_type_symbol
_atom_site_fract_x
_atom_site_fract_y
_atom_site_fract_z
Y1 Y 0.5000 0.0649 0.2113
Y2 Y 0.5000 0.2113 0.0649
Y3 Y 0.5000 0.3654 0.8372
Y4 Y 0.5000 0.5000 0.5000
Y5 Y 0.5000 0.7887 0.9351
Y6 Y 0.5000 0.9351 0.7887
Y7 Y 0.5000 0.8372 0.3654
Y8 Y 0.5000 0.6346 0.1628
Y9 Y 0.5000 0.1628 0.6346
Pr1 Pr 0.5000 0.5544 0.7557
Pr2 Pr 0.5000 0.7557 0.5544
Pr3 Pr 0.5000 0.2443 0.4456
Pr4 Pr 0.5000 0.4456 0.2443
Nd1 Nd 0.0000 0.3661 0.6339
Nd2 Nd 0.0000 0.1590 0.8410
Nd3 Nd 0.0000 0.4076 0.0453
Nd4 Nd 0.0000 0.5924 0.9547
Nd5 Nd 0.0000 0.9547 0.5924
Nd6 Nd 0.0000 0.0000 0.0000
Nd7 Nd 0.0000 0.8410 0.1590
Nd8 Nd 0.0000 0.0453 0.4076
Nd9 Nd 0.0000 0.7101 0.7101
Nd10 Nd 0.0000 0.6339 0.3661
Nd11 Nd 0.0000 0.2899 0.2899
# Energy of formation from the pure elements ... 0.056 eV/atom
# Final energy ... -0.393 Ry/atom
# M_tot ... 0.0 μB/f.u.
# DOS at the Fermi energy ... 31.9 states/eV/f.u.



(7)
# LiSiTe2, relaxed, DFT GGA-PBE
data_LiSiTe2
_chemical_formula_sum 'Li2 Si2 Te4'
_cell_length_a 6.2489
_cell_length_b 6.2489
_cell_length_c 7.8741
_cell_angle_alpha 66.62
_cell_angle_beta 66.62
_cell_angle_gamma 90.00
_space_group_name_H-M_alt 'P 1'
_space_group_IT_number 1
loop_
_space_group_symop_operation_xyz
'x,y,z'
loop_
_atom_site_label
_atom_site_type_symbol
_atom_site_fract_x
_atom_site_fract_y
_atom_site_fract_z
Li1 Li 0.2500 0.7500 0.5000
Li2 Li 0.5000 0.5000 0.0000
Si1 Si 0.7500 0.2500 0.5000
Si2 Si 0.0000 0.0000 0.0000
Te1 Te 0.1052 0.6250 0.2500
Te2 Te 0.8750 0.8948 0.7500
Te3 Te 0.6448 0.1250 0.2500
Te4 Te 0.3750 0.3552 0.7500
# ΔE to the lowest computed polymorph ... 0.26 eV per formula unit
# Final energy ... -0.267 Ry/atom
# Formation energy without anion corrections ... -0.93 eV per formula unit
# M_tot ... 0.0 μB/f.u.
# DOS at the Fermi energy ... 5.3 states/eV/f.u.



(8)
# LiPm2Sn3Ir4, relaxed, DFT GGA-PBE
data_LiPm2Sn3Ir4
_chemical_formula_sum 'Li1 Pm2 Sn3 Ir4'
_cell_length_a 4.2533
_cell_length_b 4.2533
_cell_length_c 11.5658
_cell_angle_alpha 90.00
_cell_angle_beta 90.00
_cell_angle_gamma 90.00
_space_group_name_H-M_alt 'P 1'
_space_group_IT_number 1
loop_
_space_group_symop_operation_xyz
'x,y,z'
loop_
_atom_site_label
_atom_site_type_symbol
_atom_site_fract_x
_atom_site_fract_y
_atom_site_fract_z
Pm1 Pm 0.5000 0.0000 0.2571
Pm2 Pm 0.0000 0.5000 0.7429
Sn1 Sn 0.0000 0.5000 0.1319
Sn2 Sn 0.5000 0.0000 0.8681
Sn3 Sn 0.0000 0.0000 0.5000
Ir1 Ir 0.5000 0.0000 0.6425
Ir2 Ir 0.0000 0.5000 0.3575
Ir3 Ir 0.0000 0.0000 0.0000
Ir4 Ir 0.5000 0.5000 0.0000
Li1 Li 0.5000 0.5000 0.5000
# Energy of formation from the pure elements ... -0.507 eV/atom
# Final energy ... -0.470 Ry/atom
# M_tot ... 0.0 μB/f.u.
# DOS at the Fermi energy ... 5.5 states/eV/f.u.